1.
## HoMg2GaGe2 (PBE)

Data for a relaxed structure of HoMg2GaGe2.

POSCAR file:
```
HoMg2GaGe2
1.0
4.140 0.000 0.000
0.000 8.720 0.000
0.000 0.000 6.841
Ho Mg Ga Ge
2 4 2 4
direct
0.000 0.083 0.000
0.000 0.917 0.500
0.000 0.313 0.414
0.000 0.687 0.914
0.500 0.428 0.094
0.500 0.572 0.594
0.500 0.187 0.693
0.500 0.813 0.193
0.000 0.382 0.804
0.000 0.618 0.304
0.500 0.123 0.304
0.500 0.877 0.804
```

Space group: Pmc2_1 (26)

2.
## HoMgGaGe (PBE)

Data for a relaxed structure of HoMgGaGe.

POSCAR file:
```
HoMgGaGe
1.0
0.000 3.482 3.482
3.482 0.000 3.482
3.482 3.482 0.000
Ho Mg Ga Ge
1 1 1 1
direct
0.000 0.000 0.000
0.500 0.500 0.500
0.750 0.750 0.750
0.250 0.250 0.250
```

Space group: F-43m (216)

3.
## Ho2Mn12GaGe11 (PBE)

Data for a relaxed structure of Ho2Mn12GaGe11.

POSCAR file:
```
Ho2Mn12GaGe11
1.0
5.168 0.000 0.000
-2.584 4.476 0.000
0.000 0.000 16.250
Ho Mn Ga Ge
2 12 1 11
direct
0.000 0.000 0.000
0.000 0.000 0.499
0.000 0.500 0.122
0.000 0.500 0.374
0.000 0.500 0.624
0.000 0.500 0.873
0.500 0.000 0.122
0.500 0.000 0.374
0.500 0.000 0.624
0.500 0.000 0.873
0.500 0.500 0.122
0.500 0.500 0.374
0.500 0.500 0.624
0.500 0.500 0.873
0.000 0.000 0.172
0.000 0.000 0.328
0.000 0.000 0.671
0.000 0.000 0.827
0.333 0.667 0.247
0.333 0.667 0.499
0.333 0.667 0.749
0.333 0.667 0.999
0.667 0.333 0.247
0.667 0.333 0.499
0.667 0.333 0.749
0.667 0.333 0.999
```

Space group: P6mm (183)

no.,E (eV per atom)
1,-3.718
2,-3.795
3,-6.959